[1]
! BeAl (PBE, relaxed); values from VASP
! SG: No. 141
! Uncorrected energy, eV per atom: -3.49
! N(E_F), states/eV per atom: 0.2354
&SYSTEM
  ibrav = 0, nat = 4, ntyp = 2
/
ATOMIC_SPECIES
Be 9.01 Be.upf
Al 26.98 Al.upf
CELL_PARAMETERS angstrom
-1.838 1.838 3.769
1.838 -1.838 3.769
1.838 1.838 -3.769
ATOMIC_POSITIONS crystal
Be 0.375 0.625 0.750
Be 0.625 0.375 0.250
Al 0.125 0.875 0.250
Al 0.875 0.125 0.750

[2]
! BeAl (PBE, relaxed); values from VASP
! SG: No. 70
! Uncorrected energy, eV per atom: -3.37
! N(E_F), states/eV per atom: 0.3865
&SYSTEM
  ibrav = 0, nat = 8, ntyp = 2
/
ATOMIC_SPECIES
Be 9.01 Be.upf
Al 26.98 Al.upf
CELL_PARAMETERS angstrom
0.000 5.704 7.249
1.332 0.000 7.249
1.332 5.704 0.000
ATOMIC_POSITIONS crystal
Be 0.049 0.701 0.049
Be 0.299 0.951 0.299
Be 0.701 0.049 0.701
Be 0.951 0.299 0.951
Al 0.024 0.024 0.226
Al 0.226 0.226 0.024
Al 0.774 0.774 0.976
Al 0.976 0.976 0.774

[3]
! Be2Al (PBE, relaxed); values from VASP
! SG: No. 194
! Energy above the lowest structure with this stoichiometry, meV/atom: 20
! Uncorrected energy, eV per atom: -3.65
! N(E_F), states/eV per atom: 0.2485
&SYSTEM
  ibrav = 0, nat = 24, ntyp = 2
/
ATOMIC_SPECIES
Be 9.01 Be.upf
Al 26.98 Al.upf
CELL_PARAMETERS angstrom
4.435 0.000 0.000
-2.218 3.841 0.000
0.000 0.000 14.722
ATOMIC_POSITIONS crystal
Be 0.000 0.500 0.000
Be 0.000 0.500 0.500
Be 0.167 0.334 0.250
Be 0.167 0.833 0.250
Be 0.333 0.667 0.123
Be 0.333 0.667 0.377
Be 0.334 0.167 0.750
Be 0.500 0.000 0.000
Be 0.500 0.000 0.500
Be 0.500 0.500 0.000
Be 0.500 0.500 0.500
Be 0.666 0.833 0.250
Be 0.667 0.333 0.623
Be 0.667 0.333 0.877
Be 0.833 0.167 0.750
Be 0.833 0.666 0.750
Al 0.000 0.000 0.092
Al 0.000 0.000 0.408
Al 0.000 0.000 0.592
Al 0.000 0.000 0.908
Al 0.333 0.667 0.658
Al 0.333 0.667 0.842
Al 0.667 0.333 0.158
Al 0.667 0.333 0.342

[4]
! BeAl3 (PBE, relaxed); values from VASP
! SG: No. 47
! Uncorrected energy, eV per atom: -3.59
! N(E_F), states/eV per atom: 0.2920
&SYSTEM
  ibrav = 0, nat = 4, ntyp = 2
/
ATOMIC_SPECIES
Be 9.01 Be.upf
Al 26.98 Al.upf
CELL_PARAMETERS angstrom
2.717 0.000 0.000
0.000 3.666 0.000
0.000 0.000 5.903
ATOMIC_POSITIONS crystal
Be 0.000 0.000 0.000
Al 0.000 0.000 0.500
Al 0.500 0.500 0.226
Al 0.500 0.500 0.774

[5]
! Be3Al2 (PBE, relaxed); values from VASP
! SG: No. 164
! Energy above the lowest structure with this stoichiometry, meV/atom: 343
! Uncorrected energy, eV per atom: -3.27
! N(E_F), states/eV per atom: 0.4548
&SYSTEM
  ibrav = 0, nat = 5, ntyp = 2
/
ATOMIC_SPECIES
Be 9.01 Be.upf
Al 26.98 Al.upf
CELL_PARAMETERS angstrom
3.987 0.000 0.000
-1.994 3.453 0.000
0.000 0.000 4.788
ATOMIC_POSITIONS crystal
Be 0.000 0.000 0.000
Be 0.333 0.667 0.354
Be 0.667 0.333 0.646
Al 0.333 0.667 0.840
Al 0.667 0.333 0.160

[6]
! Be2Al (PBE, relaxed); values from VASP
! SG: No. 139
! Energy above the lowest structure with this stoichiometry, meV/atom: 232
! Uncorrected energy, eV per atom: -3.44
! N(E_F), states/eV per atom: 0.3795
&SYSTEM
  ibrav = 0, nat = 3, ntyp = 2
/
ATOMIC_SPECIES
Be 9.01 Be.upf
Al 26.98 Al.upf
CELL_PARAMETERS angstrom
-1.282 1.282 5.165
1.282 -1.282 5.165
1.282 1.282 -5.165
ATOMIC_POSITIONS crystal
Be 0.183 0.183 0.000
Be 0.817 0.817 0.000
Al 0.500 0.500 0.000

[7]
! BeAl3 (PBE, relaxed); values from VASP
! SG: No. 139
! Uncorrected energy, eV per atom: -3.58
! N(E_F), states/eV per atom: 0.3396
&SYSTEM
  ibrav = 0, nat = 8, ntyp = 2
/
ATOMIC_SPECIES
Be 9.01 Be.upf
Al 26.98 Al.upf
CELL_PARAMETERS angstrom
-1.952 1.952 7.673
1.952 -1.952 7.673
1.952 1.952 -7.673
ATOMIC_POSITIONS crystal
Be 0.126 0.126 0.000
Be 0.874 0.874 0.000
Al 0.000 0.500 0.500
Al 0.250 0.750 0.500
Al 0.375 0.375 0.000
Al 0.500 0.000 0.500
Al 0.625 0.625 0.000
Al 0.750 0.250 0.500

[8]
! BeAl (PBE, relaxed); values from VASP
! SG: No. 12
! Uncorrected energy, eV per atom: -3.57
! N(E_F), states/eV per atom: 0.1971
&SYSTEM
  ibrav = 0, nat = 4, ntyp = 2
/
ATOMIC_SPECIES
Be 9.01 Be.upf
Al 26.98 Al.upf
CELL_PARAMETERS angstrom
3.263 -1.875 0.000
3.263 1.875 0.000
-2.227 0.000 4.315
ATOMIC_POSITIONS crystal
Be 0.182 0.182 0.045
Be 0.818 0.818 0.955
Al 0.397 0.397 0.692
Al 0.603 0.603 0.308

[9]
! Be2Al (PBE, relaxed); values from VASP
! SG: No. 12
! Energy above the lowest structure with this stoichiometry, meV/atom: 194
! Uncorrected energy, eV per atom: -3.48
! N(E_F), states/eV per atom: 0.1777
&SYSTEM
  ibrav = 0, nat = 6, ntyp = 2
/
ATOMIC_SPECIES
Be 9.01 Be.upf
Al 26.98 Al.upf
CELL_PARAMETERS angstrom
5.029 -1.253 0.000
5.029 1.253 0.000
-1.369 0.000 5.351
ATOMIC_POSITIONS crystal
Be 0.168 0.168 0.036
Be 0.204 0.204 0.638
Be 0.796 0.796 0.362
Be 0.832 0.832 0.964
Al 0.478 0.478 0.728
Al 0.522 0.522 0.272

[10]
! Be8Al (PBE, relaxed); values from VASP
! SG: No. 139
! Uncorrected energy, eV per atom: -3.52
! N(E_F), states/eV per atom: 0.2684
&SYSTEM
  ibrav = 0, nat = 9, ntyp = 2
/
ATOMIC_SPECIES
Be 9.01 Be.upf
Al 26.98 Al.upf
CELL_PARAMETERS angstrom
-3.525 3.525 1.657
3.525 -3.525 1.657
3.525 3.525 -1.657
ATOMIC_POSITIONS crystal
Be 0.000 0.344 0.344
Be 0.000 0.656 0.656
Be 0.322 0.322 0.645
Be 0.322 0.678 0.000
Be 0.344 0.000 0.344
Be 0.656 0.000 0.656
Be 0.678 0.322 0.000
Be 0.678 0.678 0.355
Al 0.000 0.000 0.000

[11]
! BeAl3 (PBE, relaxed); values from VASP
! SG: No. 166
! Uncorrected energy, eV per atom: -3.62
! N(E_F), states/eV per atom: 0.2441
&SYSTEM
  ibrav = 0, nat = 4, ntyp = 2
/
ATOMIC_SPECIES
Be 9.01 Be.upf
Al 26.98 Al.upf
CELL_PARAMETERS angstrom
1.400 0.808 8.650
-1.400 0.808 8.650
0.000 -1.616 8.650
ATOMIC_POSITIONS crystal
Be 0.000 0.000 0.000
Al 0.257 0.257 0.257
Al 0.500 0.500 0.500
Al 0.743 0.743 0.743

[12]
! BeAl (PBE, relaxed); values from VASP
! SG: No. 223
! Uncorrected energy, eV per atom: -2.56
! N(E_F), states/eV per atom: 0.6836
&SYSTEM
  ibrav = 0, nat = 12, ntyp = 2
/
ATOMIC_SPECIES
Be 9.01 Be.upf
Al 26.98 Al.upf
CELL_PARAMETERS angstrom
6.641 0.000 0.000
0.000 6.641 0.000
0.000 0.000 6.641
ATOMIC_POSITIONS crystal
Be 0.000 0.250 0.500
Be 0.000 0.750 0.500
Be 0.250 0.500 0.000
Be 0.500 0.000 0.250
Be 0.500 0.000 0.750
Be 0.750 0.500 0.000
Al 0.000 0.500 0.250
Al 0.000 0.500 0.750
Al 0.250 0.000 0.500
Al 0.500 0.250 0.000
Al 0.500 0.750 0.000
Al 0.750 0.000 0.500

The records above yield energy of formation from the pure elements values of 23.6, 35.6, 7.7, 14.5, 45.1, 28.3, 14.8, 16.0, 24.5, 20.1, 11.2, 113.4 kJ per mole of atoms, respectively.